Entry 1:
ZnCuReSi | PBE-GGA | relaxed

a b c (Å): 4.2513 4.2513 4.2513
angles (deg): 60.00 60.00 60.00
With the nearest neighbours (Å) after each atom.
Fractional positions:
Cu1 0.7500 0.7500 0.7500  4 Si 2.60, 4 Re 2.60
Si1 0.0000 0.0000 0.0000  4 Cu 2.60, 4 Zn 2.60
Re1 0.5000 0.5000 0.5000  4 Zn 2.60, 4 Cu 2.60
Zn1 0.2500 0.2500 0.2500  4 Re 2.60, 4 Si 2.60

Values from the calculation:
energy above the most stable polymorph in this dataset: 474 meV/atom

---

Entry 2:
SmCuRe | PBE-GGA | relaxed

a b c (Å): 4.6249 4.6249 4.6249
angles (deg): 60.00 60.00 60.00
With the nearest neighbours (Å) after each atom.
Fractional positions:
Sm1 0.0000 0.0000 0.0000  4 Cu 2.83, 4 Re 2.83
Re1 0.7500 0.7500 0.7500  4 Sm 2.83
Cu1 0.2500 0.2500 0.2500  4 Sm 2.83

Values from the calculation:
DFT formation energy: 1524 meV/atom

---

Entry 3:
CuRe2Sn | PBE-GGA | relaxed

a b c (Å): 4.4471 4.4471 4.4471
angles (deg): 60.00 60.00 60.00
With the nearest neighbours (Å) after each atom.
Fractional positions:
Re1 0.7500 0.7500 0.7500  4 Re 2.72, 4 Sn 2.72
Re2 0.0000 0.0000 0.0000  4 Re 2.72, 4 Cu 2.72
Cu1 0.2500 0.2500 0.2500  4 Sn 2.72, 4 Re 2.72
Sn1 0.5000 0.5000 0.5000  4 Cu 2.72, 4 Re 2.72

Values from the calculation:
E_tot: -7.6610 eV per atom

---

Entry 4:
Cu2ReSn | PBE-GGA | relaxed

a b c (Å): 4.4119 4.4119 4.4119
angles (deg): 60.00 60.00 60.00
With the nearest neighbours (Å) after each atom.
Fractional positions:
Cu1 0.7500 0.7500 0.7500  4 Sn 2.70, 4 Cu 2.70
Cu2 0.0000 0.0000 0.0000  4 Cu 2.70, 4 Re 2.70
Sn1 0.5000 0.5000 0.5000  4 Cu 2.70, 4 Re 2.70
Re1 0.2500 0.2500 0.2500  4 Sn 2.70, 4 Cu 2.70

Values from the calculation:
E_tot: -5.4665 eV per atom

---

Entry 5:
TaCuReSn | PBE-GGA | relaxed

a b c (Å): 4.5379 4.5379 4.5379
angles (deg): 60.00 60.00 60.00
With the nearest neighbours (Å) after each atom.
Fractional positions:
Ta1 0.5000 0.5000 0.5000  4 Cu 2.78, 4 Re 2.78
Sn1 0.0000 0.0000 0.0000  4 Cu 2.78, 4 Re 2.78
Cu1 0.7500 0.7500 0.7500  4 Ta 2.78, 4 Sn 2.78
Re1 0.2500 0.2500 0.2500  4 Sn 2.78, 4 Ta 2.78

Values from the calculation:
energy above the most stable polymorph in this dataset: 0 meV/atom

---

Entry 6:
CuReSnW | PBE-GGA | relaxed

a b c (Å): 4.4853 4.4853 4.4853
angles (deg): 60.00 60.00 60.00
With the nearest neighbours (Å) after each atom.
Fractional positions:
Cu1 0.7500 0.7500 0.7500  4 Sn 2.75, 4 W 2.75
Re1 0.2500 0.2500 0.2500  4 W 2.75, 4 Sn 2.75
Sn1 0.0000 0.0000 0.0000  4 Re 2.75, 4 Cu 2.75
W1 0.5000 0.5000 0.5000  4 Cu 2.75, 4 Re 2.75

Values from the calculation:
energy above the most stable polymorph in this dataset: 0 meV/atom

---

Entry 7:
CuReSnW | PBE-GGA | relaxed

a b c (Å): 4.4652 4.4652 4.4652
angles (deg): 60.00 60.00 60.00
With the nearest neighbours (Å) after each atom.
Fractional positions:
Sn1 0.2500 0.2500 0.2500  4 Re 2.73, 4 W 2.73
Cu1 0.7500 0.7500 0.7500  4 W 2.73, 4 Re 2.73
Re1 0.5000 0.5000 0.5000  4 Sn 2.73, 4 Cu 2.73
W1 0.0000 0.0000 0.0000  4 Sn 2.73, 4 Cu 2.73

Values from the calculation:
energy above the most stable polymorph in this dataset: 318 meV/atom

---

Entry 8:
ZnCuReSn | PBE-GGA | relaxed

a b c (Å): 4.4487 4.4487 4.4487
angles (deg): 60.00 60.00 60.00
With the nearest neighbours (Å) after each atom.
Fractional positions:
Re1 0.5000 0.5000 0.5000  4 Cu 2.72, 4 Zn 2.72
Zn1 0.2500 0.2500 0.2500  4 Re 2.72, 4 Sn 2.72
Cu1 0.7500 0.7500 0.7500  4 Re 2.72, 4 Sn 2.72
Sn1 0.0000 0.0000 0.0000  4 Cu 2.72, 4 Zn 2.72

Values from the calculation:
energy above the most stable polymorph in this dataset: 214 meV/atom